No. 1
Below is a relaxed structure of InSiH11C3Br3N, with properties calculated at the PBE level.

Computed properties:
Its symmetry is P2_1/c. The calculation puts the total DFT energy (no corrections) at -4.7303 eV per atom. As for the magnetization: 0.000 μB/atom. The value obtained for the density of states at the Fermi level is 0.00 states/eV per atom.

POSCAR file:
```
InSiH11C3Br3N
1.0
9.264 0.000 0.044
0.000 11.175 0.000
-3.546 0.000 13.126
In Si H C Br N
4 4 44 12 12 4
direct
0.023 0.638 0.807
0.977 0.138 0.693
0.977 0.362 0.193
0.023 0.862 0.307
0.342 0.716 0.716
0.658 0.216 0.784
0.658 0.284 0.284
0.342 0.784 0.216
0.081 0.757 0.648
0.919 0.257 0.852
0.919 0.243 0.352
0.081 0.743 0.148
0.147 0.836 0.751
0.853 0.336 0.749
0.853 0.164 0.249
0.147 0.664 0.251
0.445 0.800 0.889
0.555 0.300 0.611
0.555 0.200 0.111
0.445 0.700 0.389
0.575 0.706 0.852
0.425 0.206 0.648
0.425 0.294 0.148
0.575 0.794 0.352
0.427 0.641 0.894
0.573 0.141 0.606
0.573 0.359 0.106
0.427 0.859 0.394
0.255 0.572 0.574
0.745 0.072 0.926
0.745 0.428 0.426
0.255 0.928 0.074
0.295 0.497 0.693
0.705 0.997 0.807
0.705 0.503 0.307
0.295 0.003 0.193
0.443 0.545 0.642
0.557 0.045 0.858
0.557 0.455 0.358
0.443 0.955 0.142
0.325 0.846 0.564
0.675 0.346 0.936
0.675 0.154 0.436
0.325 0.654 0.064
0.513 0.823 0.633
0.487 0.323 0.867
0.487 0.177 0.367
0.513 0.677 0.133
0.399 0.927 0.678
0.601 0.427 0.822
0.601 0.073 0.322
0.399 0.573 0.178
0.456 0.715 0.850
0.544 0.215 0.650
0.544 0.285 0.150
0.456 0.785 0.350
0.331 0.569 0.650
0.669 0.069 0.850
0.669 0.431 0.350
0.331 0.931 0.150
0.400 0.839 0.641
0.600 0.339 0.859
0.600 0.161 0.359
0.400 0.661 0.141
0.965 0.784 0.934
0.035 0.284 0.566
0.035 0.216 0.066
0.965 0.716 0.434
0.173 0.460 0.889
0.827 0.960 0.611
0.827 0.540 0.111
0.173 0.040 0.389
0.794 0.566 0.675
0.206 0.066 0.825
0.206 0.434 0.325
0.794 0.934 0.175
0.149 0.752 0.721
0.851 0.252 0.779
0.851 0.248 0.279
0.149 0.748 0.221
```



No. 2
Below is a relaxed structure of SmTa2Fe9, with properties calculated at the PBE level.

Computed properties:
Its symmetry is R-3m. Its formation energy is -124 kJ/mol of formula units. As for the magnetization: 1.332 μB/atom. The value obtained for the density of states at the Fermi level is 0.84 states/eV per atom.

POSCAR file:
```
SmTa2Fe9
1.0
4.714 0.000 1.403
2.148 4.196 1.403
0.072 0.044 8.379
Sm Ta Fe
1 2 9
direct
0.000 0.000 0.000
0.856 0.856 0.433
0.144 0.144 0.567
0.667 0.667 0.000
0.333 0.333 0.000
0.500 0.500 0.500
0.411 0.411 0.261
0.917 0.411 0.261
0.411 0.917 0.261
0.589 0.589 0.739
0.589 0.083 0.739
0.083 0.589 0.739
```



No. 3
Below is a relaxed structure of Cu3SnTe, with properties calculated at the PBE level.

Computed properties:
Its symmetry is Pm-3m. Its raw formation energy is 0.658 eV per atom. As for the magnetization: 0.000 μB/atom. The value obtained for the density of states at the Fermi level is 0.88 states/eV per atom.

POSCAR file:
```
Cu3SnTe
1.0
-4.803 -0.377 0.973
-0.030 -4.531 -1.905
1.043 -1.868 4.425
Te Sn Cu
1 1 3
direct
0.000 0.000 0.000
0.500 0.500 0.500
0.000 0.500 0.000
0.000 0.000 0.500
0.500 0.000 0.000
```



No. 4
Below is a relaxed structure of CuSeCl2, with properties calculated at the PBE level.

Computed properties:
Its symmetry is Cm. Its raw formation energy is -0.297 eV per atom. As for the magnetization: 0.000 μB/atom. The value obtained for the density of states at the Fermi level is 0.54 states/eV per atom.

POSCAR file:
```
CuSeCl2
1.0
3.895 -0.609 -0.308
2.733 2.841 -0.308
0.375 0.126 8.204
Cu Se Cl
1 1 2
direct
0.404 0.404 0.465
0.070 0.070 0.328
0.128 0.128 0.066
0.897 0.897 0.641
```



No. 5
Below is a relaxed structure of KSrFe2, with properties calculated at the PBE level.

Computed properties:
Its symmetry is Cm. Its formation energy is 232 kJ/mol of formula units. As for the magnetization: 1.090 μB/atom. The value obtained for the density of states at the Fermi level is 1.28 states/eV per atom.

POSCAR file:
```
KSrFe2
1.0
-0.220 -1.758 3.638
0.946 -3.912 0.418
8.703 0.305 2.946
Fe K Sr
2 1 1
direct
0.962 0.962 0.112
0.296 0.296 0.112
0.532 0.532 0.402
0.710 0.710 0.873
```



No. 6
Below is a relaxed structure of Er2HgRu, with properties calculated at the PBE level.

Computed properties:
Its symmetry is P4/mmm. Its formation energy is -201 kJ/mol of formula units. As for the magnetization: 0.000 μB/atom. The value obtained for the density of states at the Fermi level is 0.65 states/eV per atom.

POSCAR file:
```
Er2HgRu
1.0
3.446 0.000 0.000
0.000 3.446 0.000
0.000 0.000 7.451
Ru Hg Er
1 1 2
direct
0.500 0.500 0.000
0.500 0.500 0.500
0.000 0.000 0.780
0.000 0.000 0.220
```